[1]
This record from the Alexandria database describes an optimized crystal structure of AlHO3. The functional is PBE.

POSCAR file:
```
AlHO3
1.0
3.637 0.000 0.000
0.000 3.637 0.000
0.000 0.000 3.637
Al H O
1 1 3
Direct
0.000 0.000 0.000
0.500 0.500 0.500
0.000 0.000 0.500
0.000 0.500 0.000
0.500 0.000 0.000
```

Results
Total DFT energy (no corrections): -4.843 eV/atom
Theoretical density: 2623 kg/m3

[2]
This record from the Alexandria database describes an optimized crystal structure of CrCd2Ni. The functional is PBE.

POSCAR file:
```
CrCd2Ni
1.0
0.000 3.224 3.224
3.224 0.000 3.224
3.224 3.224 0.000
Cr Cd Ni
1 2 1
Direct
0.000 0.000 0.000
0.250 0.250 0.250
0.750 0.750 0.750
0.500 0.500 0.500
```

Results
Total DFT energy (no corrections): -4.032 eV/atom
Theoretical density: 8313 kg/m3
Polymorph energy (0 for the lowest one): 70.2 meV/atom
Formation energy: 0.28 eV/atom

[3]
This record from the Alexandria database describes an optimized crystal structure of La2AgMo. The functional is PBE.

POSCAR file:
```
La2AgMo
1.0
0.000 3.609 3.609
3.609 0.000 3.609
3.609 3.609 0.000
La Ag Mo
2 1 1
Direct
0.000 0.000 0.000
0.250 0.250 0.250
0.750 0.750 0.750
0.500 0.500 0.500
```

Results
Total DFT energy (no corrections): -5.464 eV/atom
Theoretical density: 8506 kg/m3
Polymorph energy (0 for the lowest one): 241.0 meV/atom
Formation energy: 0.42 eV/atom

[4]
This record from the Alexandria database describes an optimized crystal structure of MoOs2W. The functional is PBE.

POSCAR file:
```
MoOs2W
1.0
2.790 0.000 0.000
0.000 3.901 0.000
-0.011 0.000 5.578
Mo Os W
1 2 1
Direct
0.000 0.000 0.000
0.500 0.500 0.249
0.500 0.500 0.751
0.000 0.000 0.500
```

Results
Total DFT energy (no corrections): -11.493 eV/atom
Theoretical density: 18061 kg/m3
Polymorph energy (0 for the lowest one): 5.0 meV/atom
Formation energy: 0.07 eV/atom

[5]
This record from the Alexandria database describes an optimized crystal structure of YTe2WN. The functional is PBE.

POSCAR file:
```
YTe2WN
1.0
5.877 0.000 0.000
0.000 5.877 0.000
0.000 0.000 3.996
Y Te W N
1 2 1 1
Direct
0.000 0.000 0.000
0.000 0.500 0.000
0.500 0.000 0.000
0.500 0.500 0.500
0.000 0.000 0.500
```

Results
Total DFT energy (no corrections): -5.645 eV/atom
Theoretical density: 6521 kg/m3
Polymorph energy (0 for the lowest one): 1382.7 meV/atom
E_form (uncorrected): 1.16 eV/atom

[6]
This record from the Alexandria database describes an optimized crystal structure of TmAl3Ga. The functional is PBE.

POSCAR file:
```
TmAl3Ga
1.0
9.438 0.000 0.000
0.000 2.972 0.000
0.000 0.000 7.779
Tm Al Ga
2 6 2
Direct
0.250 0.000 0.222
0.750 0.000 0.778
0.000 0.500 0.000
0.033 0.500 0.657
0.467 0.500 0.657
0.500 0.500 0.000
0.533 0.500 0.343
0.967 0.500 0.343
0.250 0.500 0.857
0.750 0.500 0.143
```

Results
Total DFT energy (no corrections): -3.696 eV/atom
Theoretical density: 4865 kg/m3
Formation energy: 0.05 eV/atom

[7]
This record from the Alexandria database describes an optimized crystal structure of AcDyGe. The functional is PBE.

POSCAR file:
```
AcDyGe
1.0
0.000 3.645 3.645
3.645 0.000 3.645
3.645 3.645 0.000
Ac Dy Ge
1 1 1
Direct
0.000 0.000 0.000
0.500 0.500 0.500
0.750 0.750 0.750
```

Results
Total DFT energy (no corrections): -4.850 eV/atom
Theoretical density: 7921 kg/m3
Polymorph energy (0 for the lowest one): 22.3 meV/atom
Formation energy: -0.41 eV/atom

[8]
This record from the Alexandria database describes an optimized crystal structure of Ac2AgSn3Pt4. The functional is PBE.

POSCAR file:
```
Ac2AgSn3Pt4
1.0
4.655 0.000 0.000
0.000 4.655 0.000
0.000 0.000 10.888
Ac Ag Sn Pt
2 1 3 4
Direct
0.000 0.500 0.247
0.500 0.000 0.753
0.500 0.500 0.000
0.000 0.000 0.000
0.000 0.500 0.624
0.500 0.000 0.376
0.000 0.000 0.500
0.000 0.500 0.864
0.500 0.000 0.136
0.500 0.500 0.500
```

Results
Total DFT energy (no corrections): -5.532 eV/atom
Theoretical density: 11951 kg/m3
Formation energy: -0.81 eV/atom

Question: Which value of total DFT energy (no corrections) does entry 8 give?
Answer: -5.532 eV/atom